Density functional theory data (PBE) for crystalline CrGa2I at its relaxed geometry. Values from VASP.

Results
- Energy above the most stable polymorph in this dataset: 0 meV/atom
- Energy relative to the elements, uncorrected: 0.394 eV/atom
- Fermi-level density of states: 4.26 states/eV per cell
- Uncorrected energy: -3.9126 eV/atom
- Symmetry: I-42d

Geometry as Quantum ESPRESSO input:
```
&SYSTEM
  ibrav = 0, nat = 8, ntyp = 3
/
ATOMIC_SPECIES
I 126.90 I.upf
Cr 52.00 Cr.upf
Ga 69.72 Ga.upf
ATOMIC_POSITIONS angstrom
I 0.0000 0.0000 0.0000
I -0.9301 -7.0108 -1.0908
Cr 0.3053 -1.4218 -2.4787
Cr 1.9274 -6.8405 -0.8365
Ga -1.0782 -3.8880 -1.2020
Ga 1.7295 -3.7486 -1.0009
Ga 0.5497 -9.3342 0.3919
Ga 0.7935 -10.7317 -2.0435
CELL_PARAMETERS angstrom
-2.5521 -1.5922 -2.7329
3.1628 -1.2515 -2.2244
0.3866 -11.0076 3.0300
```

Density functional theory data (PBE) for crystalline CrGaI2 at its relaxed geometry. Values from VASP.

Results
- Energy above the most stable polymorph in this dataset: 0 meV/atom
- Energy relative to the elements, uncorrected: 0.034 eV/atom
- Fermi-level density of states: 0.00 states/eV per cell
- Uncorrected energy: -3.9032 eV/atom
- Symmetry: I-42d

Geometry as Quantum ESPRESSO input:
```
&SYSTEM
  ibrav = 0, nat = 8, ntyp = 3
/
ATOMIC_SPECIES
I 126.90 I.upf
Cr 52.00 Cr.upf
Ga 69.72 Ga.upf
ATOMIC_POSITIONS angstrom
I 5.1405 1.8360 1.5228
I 2.2036 5.5081 1.5228
I 5.5081 5.8757 4.5683
I 9.1802 8.8126 4.5683
Cr 3.6721 3.6721 0.0000
Cr 3.6721 7.3442 3.0455
Ga 0.0000 0.0000 0.0000
Ga 7.3442 3.6721 3.0455
CELL_PARAMETERS angstrom
7.3442 0.0000 0.0000
0.0000 7.3442 0.0000
3.6721 3.6721 6.0910
```

Question: What is the formula in the second record?
Answer: CrGaI2